A relaxed Rb2NaZnI6 crystal, computed with GGA-PBE.

Results
Uncorrected energy in eV/atom: -2.27

Unit cell a=8.392 b=8.392 c=8.392 alpha=120.01 beta=120.01 gamma=89.98
Fractional coordinates of all 10 atoms:
Rb (0.250, 0.750, 0.500)
Rb (0.750, 0.250, 0.500)
Na (0.000, 0.000, 0.000)
Zn (0.500, 0.500, 0.000)
I (0.256, 0.733, 0.989)
I (0.261, 0.261, 0.000)
I (0.267, 0.256, 0.522)
I (0.733, 0.744, 0.478)
I (0.739, 0.739, 0.000)
I (0.744, 0.267, 0.011)

A relaxed KTmO3 crystal, computed with GGA-PBE.

Results
Uncorrected energy in eV/atom: -6.02

Unit cell a=6.228 b=8.721 c=6.084 alpha=90.00 beta=90.00 gamma=90.00
Fractional coordinates of all 20 atoms:
K (0.004, 0.250, 0.001)
K (0.496, 0.750, 0.501)
K (0.504, 0.250, 0.499)
K (0.996, 0.750, 0.999)
Tm (0.000, 0.000, 0.500)
Tm (0.000, 0.500, 0.500)
Tm (0.500, 0.000, 0.000)
Tm (0.500, 0.500, 0.000)
O (0.006, 0.750, 0.485)
O (0.240, 0.510, 0.761)
O (0.240, 0.990, 0.761)
O (0.260, 0.010, 0.261)
O (0.260, 0.490, 0.261)
O (0.494, 0.250, 0.985)
O (0.506, 0.750, 0.015)
O (0.740, 0.510, 0.739)
O (0.740, 0.990, 0.739)
O (0.760, 0.010, 0.239)
O (0.760, 0.490, 0.239)
O (0.994, 0.250, 0.515)

A relaxed Pr3Zn2Au4 crystal, computed with GGA-PBE.

Results
Formation enthalpy at 0 K in eV per atom: -0.706

Unit cell a=5.930 b=5.930 c=8.930 alpha=111.97 beta=111.97 gamma=46.58
Fractional coordinates of all 9 atoms:
Pr (0.000, 0.000, 0.000)
Pr (0.349, 0.349, 0.319)
Pr (0.651, 0.651, 0.681)
Zn (0.358, 0.358, 0.688)
Zn (0.642, 0.642, 0.312)
Au (0.079, 0.079, 0.400)
Au (0.283, 0.283, 0.933)
Au (0.717, 0.717, 0.067)
Au (0.921, 0.921, 0.600)

A relaxed UGaFe crystal, computed with GGA-PBE.

Results
Uncorrected energy in eV/atom: -7.20

Unit cell a=8.077 b=8.077 c=2.965 alpha=90.00 beta=90.00 gamma=120.00
Fractional coordinates of all 9 atoms:
U (0.000, 0.303, 0.000)
U (0.303, 0.000, 0.000)
U (0.697, 0.697, 0.000)
Ga (0.000, 0.000, 0.500)
Ga (0.333, 0.667, 0.000)
Ga (0.667, 0.333, 0.000)
Fe (0.000, 0.532, 0.500)
Fe (0.468, 0.468, 0.500)
Fe (0.532, 0.000, 0.500)

A relaxed Zn2W crystal, computed with GGA-PBE.

Results
Excess energy over the best structure of this formula in the dataset in meV/atom: 22
Formation enthalpy at 0 K in eV per atom: 0.165

Unit cell a=7.266 b=7.266 c=4.561 alpha=90.00 beta=90.00 gamma=158.43
Fractional coordinates of all 6 atoms:
Zn (0.118, 0.882, 0.750)
Zn (0.219, 0.781, 0.250)
Zn (0.781, 0.219, 0.750)
Zn (0.882, 0.118, 0.250)
W (0.449, 0.551, 0.750)
W (0.551, 0.449, 0.250)

A relaxed Sm3Cd3PdAu2 crystal, computed with GGA-PBE.

Results
Formation enthalpy at 0 K in eV per atom: -0.675

Unit cell a=7.792 b=7.792 c=3.996 alpha=90.00 beta=90.00 gamma=120.00
Fractional coordinates of all 9 atoms:
Sm (0.000, 0.403, 0.000)
Sm (0.403, 0.000, 0.000)
Sm (0.597, 0.597, 0.000)
Cd (0.000, 0.749, 0.500)
Cd (0.251, 0.251, 0.500)
Cd (0.749, 0.000, 0.500)
Pd (0.000, 0.000, 0.000)
Au (0.333, 0.667, 0.500)
Au (0.667, 0.333, 0.500)

A relaxed LaYPd2 crystal, computed with GGA-PBE.

Results
Formation enthalpy at 0 K in eV per atom: -0.869

Unit cell a=4.649 b=5.735 c=5.735 alpha=38.89 beta=90.00 gamma=90.00
Fractional coordinates of all 4 atoms:
La (0.000, 0.000, 0.000)
Y (0.500, 0.273, 0.273)
Pd (0.000, 0.727, 0.727)
Pd (0.500, 0.553, 0.553)

A relaxed Tm2Co2B2CN crystal, computed with GGA-PBE.

Results
Uncorrected energy in eV/atom: -7.56

Unit cell a=3.470 b=3.470 c=7.480 alpha=90.00 beta=90.00 gamma=90.00
Fractional coordinates of all 8 atoms:
Tm (0.000, 0.000, 0.000)
Tm (0.500, 0.500, 0.330)
Co (0.000, 0.500, 0.659)
Co (0.500, 0.000, 0.659)
B (0.000, 0.000, 0.506)
B (0.500, 0.500, 0.811)
C (0.500, 0.500, 0.014)
N (0.000, 0.000, 0.309)